[1]
First-principles (PBE-GGA) data for crystalline Ba2PaSe6 at its relaxed geometry, as listed in the Alexandria database.

## Properties
- Crystal system: orthorhombic
- M_tot: 0.0 μB/cell
- Calculated volume: 29.45 Å³/atom
- Mass density: 6.136 g/cm3
- Formation energy from raw total energies: -1.315 eV/atom

a = 4.3054 Å, b = 8.0180 Å, c = 8.6622 Å
α = 117.57°, β = 90.00°, γ = 90.00°
Element x y z (fractional)
Ba: 0.0000 0.2949 0.6404
Ba: 0.0000 0.6545 0.3596
Pa: 0.5000 0.0379 0.0000
Se: 0.5000 0.6868 0.0000
Se: 0.5000 0.3391 0.3697
Se: 0.5000 0.9694 0.6303
Se: 0.0000 0.2714 0.0000
Se: 0.0000 0.7674 0.7888
Se: 0.0000 0.9786 0.2112

[2]
First-principles (PBE-GGA) data for crystalline GdErMnRh at its relaxed geometry, as listed in the Alexandria database.

## Properties
- Crystal system: cubic
- M_tot: 4.0 μB/cell
- Formation energy: -0.276 eV per atom
- Calculated volume: 20.87 Å³/atom
- Mass density: 9.594 g/cm3

a = 4.9059 Å, b = 4.9059 Å, c = 4.9059 Å
α = 60.00°, β = 60.00°, γ = 60.00°
Site moments in Bohr magnetons follow the coordinates.
Element x y z (fractional)
Gd: 0.7500 0.7500 0.7500  7.19
Rh: 0.0000 0.0000 0.0000  -0.22
Mn: 0.5000 0.5000 0.5000  -3.28
Er: 0.2500 0.2500 0.2500  0.23